Nb2Bi2PbO9 PBE-GGA relaxed; DFT total energy = -102.67 eV per cell; calculated volume = 197 Å³ per cell; energy relative to the elements, uncorrected = -1888 meV/atom; size of the total moment = 0.0 μB per cell
1.0
12.8754 0.0023 0.0000
11.6542 5.4732 0.0000
-12.2648 -2.7377 2.8027
Pb Nb Bi O
1 2 2 9
direct
0.0000 0.0000 0.0000
0.4123 0.4123 0.0000
0.5877 0.5877 0.0000
0.2011 0.2011 0.0000
0.7989 0.7989 0.0000
0.5800 0.0800 0.5000
0.9200 0.4200 0.5000
0.4200 0.9200 0.5000
0.0800 0.5800 0.5000
0.7500 0.2500 0.5000
0.5000 0.5000 0.0000
0.6634 0.6634 0.0000
0.3366 0.3366 0.0000
0.2500 0.7500 0.5000

CdH3Au PBE-GGA relaxed; DFT total energy = -10.19 eV per cell; calculated volume = 59 Å³ per cell; size of the total moment = 0.0 μB per cell
1.0
-3.1559 -0.7576 2.1475
-1.7155 -1.6225 -3.0935
1.4976 -3.4553 0.9817
H Au Cd
3 1 1
direct
0.0000 0.5000 0.0000
0.0000 0.0000 0.5000
0.5000 0.0000 0.0000
0.5000 0.5000 0.5000
0.0000 0.0000 0.0000

Dy2ZnCd3 PBE-GGA relaxed; DFT total energy = -14.35 eV per cell; calculated volume = 148 Å³ per cell; size of the total moment = 0.0 μB per cell
1.0
4.7243 0.0000 -1.2575
-0.2557 3.3795 -0.9604
-0.1201 0.7275 9.0519
Dy Zn Cd
2 1 3
direct
0.1178 0.1178 0.2355
0.8929 0.3929 0.7858
0.4386 0.9386 0.8772
0.7132 0.7132 0.4264
0.5495 0.5495 0.0990
0.2880 0.7880 0.5761

La6Ge2OsBr3 PBE-GGA relaxed; DFT total energy = -68.18 eV per cell; calculated volume = 373 Å³ per cell; energy relative to the elements, uncorrected = -1094 meV/atom; size of the total moment = 0.0 μB per cell
1.0
-2.8561 -0.9237 3.1187
5.4460 -6.7809 2.9790
4.1905 8.4105 3.3249
La Ge Os Br
6 2 1 3
direct
0.3531 0.9011 0.7061
0.6746 0.5681 0.3492
0.6469 0.0989 0.2939
0.0034 0.2164 0.0068
0.9966 0.7836 0.9932
0.3254 0.4319 0.6508
0.8356 0.6612 0.6713
0.1644 0.3388 0.3287
0.5000 0.0000 0.0000
0.5000 0.5000 0.0000
0.8266 0.1633 0.6531
0.1734 0.8367 0.3469

CaPr6Y2Er PBE-GGA relaxed; DFT total energy = -93.70 eV per cell; calculated volume = 713 Å³ per cell; size of the total moment = 0.0 μB per cell
1.0
-0.1741 -4.6747 -8.7030
6.7612 -5.0918 3.3356
-8.5504 -2.2675 2.1248
Ca Pr Y Er
2 12 4 2
direct
0.2500 0.4028 0.5972
0.7500 0.5972 0.4028
0.0546 0.1123 0.7670
0.4454 0.2330 0.8877
0.9454 0.8877 0.2330
0.5546 0.7670 0.1123
0.3214 0.9750 0.4321
0.1786 0.5679 0.0250
0.6786 0.0250 0.5679
0.8214 0.4321 0.9750
0.1213 0.7104 0.4933
0.3787 0.5067 0.2896
0.8787 0.2896 0.5067
0.6213 0.4933 0.7104
0.4552 0.8011 0.7069
0.0448 0.2931 0.1989
0.5448 0.1989 0.2931
0.9552 0.7069 0.8011
0.2500 0.9698 0.0302
0.7500 0.0302 0.9698

CsZnBi PBE-GGA relaxed; DFT total energy = -13.03 eV per cell; calculated volume = 251 Å³ per cell; size of the total moment = 0.0 μB per cell
1.0
-4.9975 0.1172 -0.7719
-3.4243 -2.2550 5.3987
-0.4182 7.8808 1.4553
Cs Zn Bi
2 2 2
direct
0.5175 0.1596 0.0717
0.2349 0.6306 0.7049
0.5653 0.9907 0.5497
0.7669 0.6176 0.3647
0.9689 0.1966 0.4734
0.2057 0.7610 0.2284

TmAl7Ni5 PBE-GGA relaxed; DFT total energy = -67.29 eV per cell; calculated volume = 182 Å³ per cell; size of the total moment = 0.0 μB per cell
1.0
4.6137 0.0000 1.8948
2.3335 6.0411 0.8825
0.0118 -0.0507 6.5358
Tm Al Ni
1 7 5
direct
0.0036 0.9964 0.9964
0.6535 0.3465 0.3465
0.3399 0.6601 0.6601
0.9851 0.3597 0.6702
0.9851 0.6702 0.3597
0.2740 0.2260 0.2260
0.5114 0.7821 0.1951
0.5114 0.1951 0.7821
0.5001 0.0073 0.4886
0.0040 0.0073 0.4886
0.5001 0.4886 0.0073
0.0040 0.4886 0.0073
0.7279 0.7721 0.7721

Re2HgSb PBE-GGA relaxed; DFT total energy = -25.90 eV per cell; calculated volume = 72 Å³ per cell; energy relative to the elements, uncorrected = 854 meV/atom; size of the total moment = 0.6 μB per cell
1.0
-6.4392 -6.4005 -0.2154
-4.9311 -7.2762 2.2843
-7.0787 -5.1220 2.4765
Hg Re Sb
1 2 1
direct
0.7500 0.7500 0.7500
0.9951 0.9951 0.9951
0.5049 0.5049 0.5049
0.2500 0.2500 0.2500

Li2Pr2Si3 PBE-GGA relaxed; DFT total energy = -67.82 eV per cell; calculated volume = 284 Å³ per cell; energy relative to the elements, uncorrected = -608 meV/atom; size of the total moment = 0.0 μB per cell
1.0
9.5692 0.0048 0.0000
-8.5384 4.3205 0.0000
0.0000 0.0000 6.8515
Li Pr Si
4 4 6
direct
0.8117 0.1883 0.5610
0.1883 0.8117 0.4390
0.1883 0.8117 0.0610
0.8117 0.1883 0.9390
0.5524 0.4476 0.2500
0.4476 0.5524 0.7500
0.3418 0.6582 0.2500
0.6582 0.3418 0.7500
0.9422 0.0578 0.0747
0.0578 0.9422 0.9253
0.0578 0.9422 0.5747
0.9422 0.0578 0.4253
0.7199 0.2801 0.2500
0.2801 0.7199 0.7500

CaZnInW2 PBE-GGA relaxed; DFT total energy = -18.40 eV per cell; calculated volume = 119 Å³ per cell; size of the total moment = 0.9 μB per cell
1.0
4.7330 0.0000 0.0000
0.0000 5.3318 0.0000
0.0000 0.0000 4.7330
Zn Ca W In
1 1 2 1
direct
0.5000 0.5000 0.5000
0.0000 0.0000 0.0000
0.0000 0.0000 0.5000
0.5000 0.0000 0.0000
0.0000 0.5000 0.0000

Cs2VPI6 PBE-GGA relaxed; DFT total energy = -31.44 eV per cell; calculated volume = 413 Å³ per cell; energy relative to the elements, uncorrected = -591 meV/atom; size of the total moment = 4.0 μB per cell
1.0
8.1014 0.0000 0.0000
0.0000 8.1014 0.0000
4.0507 4.0507 6.2911
Cs I P V
2 6 1 1
direct
0.7500 0.2500 0.5000
0.2500 0.7500 0.5000
0.2200 0.2200 0.5601
0.7800 0.7800 0.4399
0.2540 0.2540 0.0000
0.7460 0.7460 0.0000
0.7460 0.2540 0.0000
0.2540 0.7460 0.0000
0.5000 0.5000 0.0000
0.0000 0.0000 0.0000

Ba2UTe2N2 PBE-GGA relaxed; DFT total energy = -46.82 eV per cell; calculated volume = 185 Å³ per cell; energy relative to the elements, uncorrected = -1251 meV/atom; size of the total moment = 0.1 μB per cell
1.0
-1.1627 -3.3748 -2.7831
3.2762 -2.5800 1.7597
-6.8480 -0.1444 6.7167
Ba U Te N
2 1 2 2
direct
0.3842 0.3842 0.7683
0.6158 0.6158 0.2317
0.0000 0.0000 0.0000
0.1714 0.1714 0.3427
0.8286 0.8286 0.6573
0.0000 0.5000 0.0000
0.5000 0.0000 0.0000

Question: What is the formula in the seventh record?
Answer: TmAl7Ni5

Question: What is the size of the total moment in the third record?
Answer: 0.0 μB per cell

Question: Among the records above, which one has the lowest calculated volume?
Answer: CdH3Au